A plane-wave DFT calculation with PBE with a Hubbard U was carried out for an optimized crystal structure of FeTeRh2F.

Output
Magnetic moment in μB per atom: 1.273
V in Å³ per cell: 109.0
E_tot in eV per atom: -4.125

Structure (CIF):
```
data_FeTeRh2F
_cell_length_a 4.746
_cell_length_b 4.746
_cell_length_c 4.838
_cell_angle_alpha 90.00
_cell_angle_beta 90.00
_cell_angle_gamma 90.00
_space_group_name_H-M_alt 'P 4/m m m'
_space_group_IT_number 123
_space_group_name_Hall '-P 4 2'
loop_
_atom_site_label
_atom_site_fract_x
_atom_site_fract_y
_atom_site_fract_z
Fe1 0.000 0.000 0.000
Te1 0.000 0.000 0.500
Rh1 0.000 0.500 0.000
F1 0.500 0.500 0.500
```